This record from the Alexandria database describes NaEuAg after structural relaxation. The functional is GGA-PBE.

Properties
Density of states at the Fermi level   13.16 states/eV/f.u.
E_form   -0.03 eV/atom
Offset from the most stable computed form   34 meV per atom
Energy   -4.844 eV per atom

Lattice parameters (Å, degrees): 7.394 7.394 7.394 90.00 90.00 90.00
Space group F-43m (No. 216)
Unique sites:
Na 0.000 0.000 0.000 (multiplicity 4)
Eu 0.000 0.000 0.500 (multiplicity 4)
Ag 0.250 0.250 0.250 (multiplicity 4)


This record from the Alexandria database describes NaEuAg2 after structural relaxation. The functional is GGA-PBE.

Properties
Density of states at the Fermi level   9.40 states/eV/f.u.
E_form   -0.14 eV/atom
Offset from the most stable computed form   0 meV per atom
Energy   -4.462 eV per atom

Lattice parameters (Å, degrees): 3.754 3.754 7.169 90.00 90.00 90.00
Space group P4/mmm (No. 123)
Unique sites:
Na 0.000 0.000 0.000 (multiplicity 1)
Eu 0.000 0.000 0.500 (multiplicity 1)
Ag 0.500 0.500 0.226 (multiplicity 2)